1.
{"formula": "BeRhPb2", "functional": "PBE", "state": "relaxed", "magmom_total_mub_per_fu": 0.0, "dft_energy_ev_per_atom": -4.202, "crystal_system": "trigonal", "dos_ef_per_ev_fu": 3.3, "cell": [[-2.2255, -7.9987, -0.3692], [-0.0086, -8.0095, 2.2173], [-3.2550, -7.1313, 2.7601]], "species": ["Pb", "Pb", "Be", "Rh"], "frac_coords": [[0.9997, 0.9997, 0.9997], [0.5003, 0.5003, 0.5003], [0.7500, 0.7500, 0.7500], [0.2500, 0.2500, 0.2500]]}



2.
{"formula": "La2AlBiO6", "functional": "PBE", "state": "relaxed", "magmom_total_mub_per_fu": 0.0, "dft_energy_ev_per_atom": -7.343, "crystal_system": "tetragonal", "dos_ef_per_ev_fu": 0.0, "e_form_raw_ev_per_atom": -2.62, "cell": [[5.2110, 0.0000, 0.0000], [0.0000, 5.4784, 0.0000], [0.0000, 0.0000, 5.4784]], "species": ["La", "La", "Al", "Bi", "O", "O", "O", "O", "O", "O"], "frac_coords": [[0.0025, 0.5000, 0.0000], [0.0025, 0.0000, 0.5000], [0.5980, 0.0000, 0.0000], [0.5590, 0.5000, 0.5000], [0.7295, 0.2287, 0.2287], [0.7295, 0.2287, 0.7713], [0.1138, 0.5000, 0.5000], [0.2531, 0.0000, 0.0000], [0.7295, 0.7713, 0.7713], [0.7295, 0.7713, 0.2287]]}